VASP calculation (GGA-PBE) on crystalline BePt2Au at its relaxed geometry.

Results
E_form = -0.54 eV per formula unit
Fermi-level density of states = 0.72 states/eV per atom

Lattice parameters (Å, degrees): 3.839 3.928 3.928 90.00 90.00 90.00
Fractional coordinates of all 4 atoms:
Be 0.500 0.000 0.500
Au 0.500 0.500 0.000
Pt 0.000 0.000 0.000
Pt 0.000 0.500 0.500

=====

VASP calculation (GGA-PBE) on crystalline Be2PtAu at its relaxed geometry.

Results
E_form = -0.81 eV per formula unit
Fermi-level density of states = 0.22 states/eV per atom

Lattice parameters (Å, degrees): 7.614 7.614 7.614 21.55 21.55 21.55
Fractional coordinates of all 4 atoms:
Be 0.995 0.995 0.995
Be 0.505 0.505 0.505
Au 0.750 0.750 0.750
Pt 0.250 0.250 0.250

=====

VASP calculation (GGA-PBE) on crystalline Be2PtAu at its relaxed geometry.

Results
E_form = 0.05 eV per formula unit
Fermi-level density of states = 0.51 states/eV per atom

Lattice parameters (Å, degrees): 8.183 8.183 8.183 19.59 19.59 19.59
Fractional coordinates of all 4 atoms:
Be 0.994 0.994 0.994
Be 0.252 0.252 0.252
Au 0.739 0.739 0.739
Pt 0.515 0.515 0.515

=====

VASP calculation (GGA-PBE) on crystalline Be2PtAu at its relaxed geometry.

Results
E_form = -1.70 eV per formula unit
Fermi-level density of states = 0.28 states/eV per atom

Lattice parameters (Å, degrees): 2.950 2.802 6.022 90.00 90.00 90.00
Fractional coordinates of all 4 atoms:
Be 0.000 0.000 0.024
Be 0.000 0.000 0.476
Au 0.500 0.500 0.750
Pt 0.500 0.500 0.250

=====

VASP calculation (GGA-PBE) on crystalline BePtAu at its relaxed geometry.

Results
E_form = -1.07 eV per formula unit
Fermi-level density of states = 0.20 states/eV per atom

Lattice parameters (Å, degrees): 3.970 3.970 3.970 60.00 60.00 60.00
Fractional coordinates of all 3 atoms:
Be 0.750 0.750 0.750
Au 0.500 0.500 0.500
Pt 0.000 0.000 0.000

=====

VASP calculation (GGA-PBE) on crystalline BePt2Au at its relaxed geometry.

Results
E_form = -0.23 eV per formula unit
Fermi-level density of states = 0.45 states/eV per atom

Lattice parameters (Å, degrees): 4.443 4.443 3.037 90.00 90.00 90.00
Fractional coordinates of all 4 atoms:
Be 0.000 0.500 0.500
Au 0.500 0.000 0.500
Pt 0.000 0.000 0.000
Pt 0.500 0.500 0.000